(1)
A plane-wave DFT calculation with PBE was carried out for Na3Tl2GaO6 after structural relaxation. Values from VASP.

Space group: No. 12

Structure (Quantum ESPRESSO input):
```
&SYSTEM
  ibrav = 0, nat = 12, ntyp = 4
/
ATOMIC_SPECIES
Na 22.99 Na.upf
Tl 204.38 Tl.upf
Ga 69.72 Ga.upf
O 16.00 O.upf
CELL_PARAMETERS angstrom
5.707 0.001 -0.005
-2.851 4.943 -0.005
-0.957 -1.658 5.526
ATOMIC_POSITIONS crystal
Na 0.163 0.837 0.500
Na 0.837 0.163 0.500
Na 0.500 0.500 0.500
Tl 0.333 0.667 0.000
Tl 0.667 0.333 0.000
Ga 0.000 0.000 0.000
O 0.929 0.627 0.784
O 0.770 0.770 0.209
O 0.071 0.373 0.216
O 0.627 0.929 0.784
O 0.230 0.230 0.791
O 0.373 0.071 0.216
```

---

(2)
A plane-wave DFT calculation with PBE was carried out for NaTlGaO4 after structural relaxation. Values from VASP.

Space group: No. 11

Structure (Quantum ESPRESSO input):
```
&SYSTEM
  ibrav = 0, nat = 14, ntyp = 4
/
ATOMIC_SPECIES
Na 22.99 Na.upf
Tl 204.38 Tl.upf
Ga 69.72 Ga.upf
O 16.00 O.upf
CELL_PARAMETERS angstrom
5.882 0.000 -0.264
0.000 5.825 0.000
-2.584 0.000 6.385
ATOMIC_POSITIONS crystal
Na 0.650 0.750 0.949
Na 0.350 0.250 0.051
Tl 0.813 0.750 0.465
Tl 0.187 0.250 0.535
Ga 0.247 0.750 0.312
Ga 0.753 0.250 0.688
O 0.995 0.474 0.713
O 0.005 0.974 0.287
O 0.005 0.526 0.287
O 0.995 0.026 0.713
O 0.449 0.750 0.167
O 0.551 0.250 0.833
O 0.508 0.750 0.588
O 0.492 0.250 0.412
```

---

(3)
A plane-wave DFT calculation with PBE was carried out for Na2Tl2GaO6 after structural relaxation. Values from VASP.

Space group: No. 12

Structure (Quantum ESPRESSO input):
```
&SYSTEM
  ibrav = 0, nat = 11, ntyp = 4
/
ATOMIC_SPECIES
Na 22.99 Na.upf
Tl 204.38 Tl.upf
Ga 69.72 Ga.upf
O 16.00 O.upf
CELL_PARAMETERS angstrom
5.626 0.067 0.048
-2.722 4.924 0.048
-1.043 -1.794 5.589
ATOMIC_POSITIONS crystal
Na 0.834 0.166 0.000
Na 0.166 0.834 0.000
Tl 0.335 0.665 0.500
Tl 0.665 0.335 0.500
Ga 0.000 0.000 0.500
O 0.769 0.769 0.694
O 0.054 0.364 0.708
O 0.231 0.231 0.306
O 0.364 0.054 0.708
O 0.946 0.636 0.292
O 0.636 0.946 0.292
```

---

(4)
A plane-wave DFT calculation with PBE was carried out for Na3Tl3GaO8 after structural relaxation. Values from VASP.

Space group: No. 166

Structure (Quantum ESPRESSO input):
```
&SYSTEM
  ibrav = 0, nat = 15, ntyp = 4
/
ATOMIC_SPECIES
Na 22.99 Na.upf
Tl 204.38 Tl.upf
Ga 69.72 Ga.upf
O 16.00 O.upf
CELL_PARAMETERS angstrom
6.620 0.000 0.000
-3.310 5.734 -0.022
0.000 -3.805 5.656
ATOMIC_POSITIONS crystal
Na 0.000 0.000 0.000
Na 0.000 0.500 0.000
Na 0.500 0.500 0.000
Tl 0.500 0.000 0.500
Tl 0.500 0.500 0.500
Tl 0.000 0.500 0.500
Ga 0.000 0.000 0.500
O 0.257 0.514 0.272
O 0.743 0.486 0.728
O 0.784 0.568 0.299
O 0.216 0.432 0.701
O 0.784 0.015 0.299
O 0.216 0.985 0.701
O 0.231 0.015 0.299
O 0.769 0.985 0.701
```

---

(5)
A plane-wave DFT calculation with PBE was carried out for NaU2GaO8 after structural relaxation. Values from VASP.

Space group: No. 65

Structure (Quantum ESPRESSO input):
```
&SYSTEM
  ibrav = 0, nat = 12, ntyp = 4
/
ATOMIC_SPECIES
Na 22.99 Na.upf
U 238.03 U.upf
Ga 69.72 Ga.upf
O 16.00 O.upf
CELL_PARAMETERS angstrom
-0.453 -3.506 -3.241
-2.438 -2.756 3.075
-5.974 2.816 -2.212
ATOMIC_POSITIONS crystal
Na 0.000 0.000 0.500
U 0.500 0.500 0.752
U 0.500 0.500 0.248
Ga 0.000 0.000 0.000
O 0.203 0.796 0.215
O 0.695 0.696 0.000
O 0.797 0.204 0.215
O 0.797 0.204 0.785
O 0.305 0.304 0.000
O 0.203 0.796 0.785
O 0.676 0.677 0.500
O 0.324 0.323 0.500
```

---

(6)
A plane-wave DFT calculation with PBE was carried out for NaUGa2O8 after structural relaxation. Values from VASP.

Space group: No. 12

Structure (Quantum ESPRESSO input):
```
&SYSTEM
  ibrav = 0, nat = 12, ntyp = 4
/
ATOMIC_SPECIES
Na 22.99 Na.upf
U 238.03 U.upf
Ga 69.72 Ga.upf
O 16.00 O.upf
CELL_PARAMETERS angstrom
4.853 0.221 -0.017
0.251 4.851 -0.019
-0.018 -0.012 7.273
ATOMIC_POSITIONS crystal
Na 0.000 0.000 0.500
U 0.000 0.000 0.000
Ga 0.508 0.508 0.815
Ga 0.492 0.492 0.185
O 0.214 0.800 0.214
O 0.693 0.693 0.005
O 0.800 0.214 0.214
O 0.786 0.200 0.786
O 0.307 0.307 0.995
O 0.200 0.786 0.786
O 0.582 0.583 0.546
O 0.418 0.417 0.454
```

---

(7)
A plane-wave DFT calculation with PBE was carried out for NaUGaO6 after structural relaxation. Values from VASP.

Space group: No. 102

Structure (Quantum ESPRESSO input):
```
&SYSTEM
  ibrav = 0, nat = 18, ntyp = 4
/
ATOMIC_SPECIES
Na 22.99 Na.upf
U 238.03 U.upf
Ga 69.72 Ga.upf
O 16.00 O.upf
CELL_PARAMETERS angstrom
5.021 0.000 0.000
0.000 5.021 0.000
0.000 0.000 9.601
ATOMIC_POSITIONS crystal
Na 0.500 0.500 0.504
Na 0.000 0.000 0.004
U 0.500 0.500 0.165
U 0.000 0.000 0.665
Ga 0.500 0.500 0.835
Ga 0.000 0.000 0.335
O 0.178 0.822 0.498
O 0.822 0.178 0.498
O 0.322 0.322 0.998
O 0.678 0.678 0.998
O 0.204 0.796 0.195
O 0.796 0.204 0.195
O 0.296 0.296 0.695
O 0.704 0.704 0.695
O 0.784 0.216 0.805
O 0.216 0.784 0.805
O 0.716 0.716 0.305
O 0.284 0.284 0.305
```

---

(8)
A plane-wave DFT calculation with PBE was carried out for Na2UGaO6 after structural relaxation. Values from VASP.

Space group: No. 123

Structure (Quantum ESPRESSO input):
```
&SYSTEM
  ibrav = 0, nat = 10, ntyp = 4
/
ATOMIC_SPECIES
Na 22.99 Na.upf
U 238.03 U.upf
Ga 69.72 Ga.upf
O 16.00 O.upf
CELL_PARAMETERS angstrom
4.200 0.000 0.000
0.000 5.679 0.000
0.000 0.000 5.679
ATOMIC_POSITIONS crystal
Na 0.144 0.500 0.000
Na 0.144 0.000 0.500
U 0.645 0.500 0.500
Ga 0.645 0.000 0.000
O 0.645 0.245 0.245
O 0.645 0.245 0.755
O 0.145 0.500 0.500
O 0.145 0.000 0.000
O 0.645 0.755 0.755
O 0.645 0.755 0.245
```

---

Number 1: uncorrected formation energy -15.5 eV/f.u.. Number 2: uncorrected formation energy -7.1 eV/f.u.. Number 3: uncorrected formation energy -11.9 eV/f.u.. Number 4: uncorrected formation energy -16.3 eV/f.u.. Number 5: uncorrected formation energy -31.6 eV/f.u.. Number 6: uncorrected formation energy -22.5 eV/f.u.. Number 7: uncorrected formation energy -17.2 eV/f.u.. Number 8: uncorrected formation energy -21.1 eV/f.u..